A plane-wave DFT calculation with GGA-PBE was carried out for a geometry-optimized HoHf2Fe structure.

Distance to the lowest polymorph of the same formula, kJ/mol of formula units: 112.9
V, Å³/atom: 22.27
Energy of formation from the pure elements, meV per atom: 303

Cell: 10.094 10.094 10.094 Å, 18.36 18.36 18.36°
Positions (direct):
Ho: 0.000 0.000 0.000
Hf: 0.108 0.108 0.108
Hf: 0.892 0.892 0.892
Fe: 0.500 0.500 0.500

A plane-wave DFT calculation with GGA-PBE was carried out for a geometry-optimized HoHf2Fe structure.

Distance to the lowest polymorph of the same formula, kJ/mol of formula units: 0.0
V, Å³/atom: 20.92
Energy of formation from the pure elements, meV per atom: 11

Cell: 3.217 3.217 8.085 Å, 90.00 90.00 90.00°
Positions (direct):
Ho: 0.000 0.000 0.000
Hf: 0.500 0.500 0.315
Hf: 0.500 0.500 0.685
Fe: 0.000 0.000 0.500